Re2Sb2O5 | PBE | optimized geometry

Geometry as POSCAR:
```
Re2Sb2O5
1.0
3.9680 0.0000 0.0000
0.0000 3.9680 0.0000
0.0000 0.0000 6.8865
Re Sb O
2 2 5
direct
0.0000 0.0000 0.1753 Re
0.0000 0.0000 0.8247 Re
0.5000 0.5000 0.0000 Sb
0.5000 0.5000 0.5000 Sb
0.0000 0.0000 0.5000 O
0.0000 0.5000 0.2511 O
0.0000 0.5000 0.7489 O
0.5000 0.0000 0.2511 O
0.5000 0.0000 0.7489 O
```

Calculated values
Total magnetic moment ... 0.00 μB/cell
Crystal system ... tetragonal
Excess energy over the best structure of this formula in the dataset ... 0.000 eV/atom
Calculated density ... 10.66 g/cm³
Space-group type ... P4/mmm (123)
Total DFT energy (no corrections) ... -63.31 eV/f.u.

---

ReSb2O4 | PBE | optimized geometry

Geometry as POSCAR:
```
ReSb2O4
1.0
-3.5499 3.5499 5.0150
3.5499 -3.5499 5.0150
3.5499 3.5499 -5.0150
Re Sb O
2 4 8
direct
0.3750 0.6250 0.7500 Re
0.6250 0.3750 0.2500 Re
0.0000 0.0000 0.0000 Sb
0.0000 0.0000 0.5000 Sb
0.0000 0.5000 0.0000 Sb
0.5000 0.0000 0.5000 Sb
0.2725 0.3177 0.5452 O
0.2727 0.7275 0.5452 O
0.2725 0.7273 0.9548 O
0.3177 0.2725 0.0452 O
0.6823 0.7275 0.9548 O
0.7275 0.2727 0.0452 O
0.7273 0.2725 0.4548 O
0.7275 0.6823 0.4548 O
```

Calculated values
Total magnetic moment ... 0.13 μB/cell
Crystal system ... tetragonal
Calculated density ... 6.49 g/cm³
Space-group type ... I4_1/amd (141)
Total DFT energy (no corrections) ... -45.23 eV/f.u.

---

Re2Sb2O5 | PBE | optimized geometry

Geometry as POSCAR:
```
Re2Sb2O5
1.0
3.4083 0.0000 0.0000
0.0000 3.4083 0.0000
0.0000 0.0000 8.6849
Re Sb O
2 2 5
direct
0.0000 0.0000 0.0000 Re
0.0000 0.0000 0.5000 Re
0.5000 0.5000 0.1871 Sb
0.5000 0.5000 0.8129 Sb
0.0000 0.5000 0.3396 O
0.0000 0.5000 0.6604 O
0.5000 0.0000 0.3396 O
0.5000 0.0000 0.6604 O
0.5000 0.5000 0.5000 O
```

Calculated values
Total magnetic moment ... 0.00 μB/cell
Crystal system ... tetragonal
Excess energy over the best structure of this formula in the dataset ... 0.595 eV/atom
Calculated density ... 11.45 g/cm³
Space-group type ... P4/mmm (123)
Total DFT energy (no corrections) ... -57.96 eV/f.u.

---

Sc2Re2O5 | PBE | optimized geometry

Geometry as POSCAR:
```
Sc2Re2O5
1.0
3.9084 0.0000 0.0000
0.0000 3.9084 0.0000
0.0000 0.0000 6.6099
Sc Re O
2 2 5
direct
0.0000 0.0000 0.0000 Sc
0.0000 0.0000 0.5000 Sc
0.5000 0.5000 0.1760 Re
0.5000 0.5000 0.8240 Re
0.0000 0.5000 0.2402 O
0.0000 0.5000 0.7598 O
0.5000 0.0000 0.2402 O
0.5000 0.0000 0.7598 O
0.5000 0.5000 0.5000 O
```

Calculated values
Total magnetic moment ... 0.01 μB/cell
Crystal system ... tetragonal
Excess energy over the best structure of this formula in the dataset ... 0.000 eV/atom
Calculated density ... 8.92 g/cm³
Space-group type ... P4/mmm (123)
Total DFT energy (no corrections) ... -76.91 eV/f.u.